[1]
Here is a relaxed PmTmP crystal from the Alexandria database. Energies are from PBE.

The energy above the most stable polymorph in this dataset comes out at 14 meV per atom. As for the theoretical density: 7.2 g/cm³. For the energy, the calculation gives -0.4261 Ry per atom. The calculation puts the formation energy from the elements at -88.73 kJ/mol of atoms.

The space group is Pbam (No. 55) and the conventional cell measures 7.0975, 11.2975 and 3.9449 Å, with angles of 90.00, 90.00 and 90.00 degrees. The asymmetric unit holds Pm at (0.2328, 0.0572, 0.0000), Tm at (0.0967, 0.3073, 0.5000) and P at (0.1208, 0.8020, 0.0000).


[2]
Here is a relaxed K2MnMo crystal from the Alexandria database. Energies are from PBE.

The energy above the most stable polymorph in this dataset comes out at 0 meV per atom. As for the theoretical density: 3.2 g/cm³. For the energy, the calculation gives -0.3485 Ry per atom. The calculation puts the formation energy from the elements at 77.94 kJ/mol of atoms.

The space group is P4mm (No. 99) and the conventional cell measures 3.3436, 3.3436 and 10.6471 Å, with angles of 90.00, 90.00 and 90.00 degrees. The asymmetric unit holds K at (0.0000, 0.0000, 0.0000), K at (0.5000, 0.5000, 0.4017), Mn at (0.0000, 0.0000, 0.6564) and Mo at (0.5000, 0.5000, 0.7356).


[3]
Here is a relaxed SiAg2S2 crystal from the Alexandria database. Energies are from PBE.

The energy above the most stable polymorph in this dataset comes out at 203 meV per atom. As for the raw formation energy: 464 meV per atom. As for the theoretical density: 5.4 g/cm³. For the energy, the calculation gives -0.2507 Ry per atom.

The space group is I4/mmm (No. 139) and the conventional cell measures 3.3602, 3.3602 and 16.6349 Å, with angles of 90.00, 90.00 and 90.00 degrees. The asymmetric unit holds Si at (0.0000, 0.0000, 0.0000), Ag at (0.0000, 0.0000, 0.4129) and S at (0.0000, 0.5000, 0.2500).


[4]
Here is a relaxed SrHF3 crystal from the Alexandria database. Energies are from PBE.

The energy above the most stable polymorph in this dataset comes out at 101 meV per atom. As for the theoretical density: 3.4 g/cm³. For the energy, the calculation gives -0.3707 Ry per atom.

The space group is P2_1/m (No. 11) and the conventional cell measures 4.4381, 3.9716 and 8.3675 Å, with angles of 90.00, 105.00 and 90.00 degrees. The asymmetric unit holds Sr at (0.1633, 0.2500, 0.3247), H at (0.5000, 0.0000, 0.0000), F at (0.0845, 0.7500, 0.1746), F at (0.2708, 0.7500, 0.5411) and F at (0.4640, 0.7500, 0.9251).